The following is a PBE-GGA calculation of an optimized crystal structure of SbMoBr2, from Alexandria via LeMat-Bulk.

Raw formation energy, meV per atom: 858
Space-group type: Cmmm, No. 65
DOS at the Fermi energy, states/eV/atom: 0.921
Crystal system: orthorhombic
VASP energy, eV per formula unit: -14.87

Lattice parameters (Å, degrees): 5.4907 5.4907 3.3479 90.00 90.00 106.02
Last column: nearest neighbours and their distance in Å.
Fractional coordinates of all 4 atoms:
Br1 0.5000 0.5000 0.0000  4 Sb 3.22, 4 Mo 3.22, 4 Br 3.30-3.35
Sb1 0.0000 0.5000 0.5000  8 Br 3.22, 2 Mo 3.30, 2 Sb 3.35
Mo1 0.5000 0.0000 0.5000  8 Br 3.22, 2 Sb 3.30, 2 Mo 3.35
Br2 0.0000 0.0000 0.0000  4 Mo 3.22, 4 Sb 3.22, 4 Br 3.30-3.35

---

The following is a PBE-GGA calculation of an optimized crystal structure of AgBPt3, from Alexandria via LeMat-Bulk.

Space-group type: C2/m, No. 12
DOS at the Fermi energy, states/eV/atom: 0.325
Crystal system: monoclinic
VASP energy, eV per formula unit: -28.77
DFT formation energy, eV per atom: -0.224

Lattice parameters (Å, degrees): 5.5265 5.6972 5.6972 60.30 104.90 104.90
Last column: nearest neighbours and their distance in Å.
Fractional coordinates of all 10 atoms:
Pt1 0.5597 0.3219 0.1664  2 B 2.15-2.20
B1 0.2900 0.1129 0.9572  6 Pt 2.15-2.20
Pt2 0.0218 0.7388 0.0901  2 B 2.16-2.19
Ag1 0.5604 0.8190 0.6635  8 Pt 2.84-2.99, 2 Ag 2.85-2.86
Pt3 0.0218 0.2459 0.5829  2 B 2.16-2.19
Ag2 0.0212 0.7424 0.5866  8 Pt 2.84-2.99, 2 Ag 2.85-2.86
Pt4 0.5597 0.3155 0.6671  2 B 2.16-2.19
Pt5 0.0218 0.2395 0.0836  2 B 2.15-2.20
Pt6 0.5597 0.8227 0.1600  2 B 2.16-2.19
B2 0.2915 0.4485 0.2928  6 Pt 2.15-2.20

---

The following is a PBE-GGA calculation of an optimized crystal structure of Y12As3N5, from Alexandria via LeMat-Bulk.

Raw formation energy, meV per atom: -1112
Space-group type: Ia-3d, No. 230
DOS at the Fermi energy, states/eV/atom: 0.808
Crystal system: cubic
VASP energy, eV per formula unit: -155.39

Lattice parameters (Å, degrees): 13.2155 13.2155 13.2155 109.47 109.47 109.47
Last column: nearest neighbours and their distance in Å.
Fractional coordinates of all 80 atoms:
Y1 0.7024 0.1151 0.0185  2 N 2.22-2.48
Y2 0.9127 0.0966 0.6151  2 N 2.22-2.48
Y3 0.6151 0.5966 0.9127  2 N 2.22-2.48
As1 0.1250 0.8750 0.7500  8 Y 2.99-3.08
Y4 0.4034 0.0185 0.3161  2 N 2.22-2.48
N1 0.7500 0.1250 0.8750  4 Y 2.22
As2 0.3750 0.6250 0.2500  8 Y 2.99-3.08
Y5 0.1839 0.0873 0.7024  2 N 2.22-2.48
As3 0.7500 0.8750 0.6250  8 Y 2.99-3.08
Y6 0.1839 0.0966 0.9815  2 N 2.22-2.48
Y7 0.9034 0.0873 0.8849  2 N 2.22-2.48
Y8 0.5966 0.6151 0.4127  2 N 2.22-2.48
Y9 0.0966 0.9127 0.1151  2 N 2.22-2.48
N2 0.1250 0.7500 0.3750  4 Y 2.22
As4 0.3750 0.7500 0.6250  8 Y 2.99-3.08
N3 0.8750 0.2500 0.6250  4 Y 2.22
N4 0.5000 0.5000 0.5000  6 Y 2.48
Y10 0.0185 0.6151 0.7024  2 N 2.22-2.48
N5 0.0000 0.5000 0.5000  6 Y 2.48
Y11 0.5966 0.9815 0.6839  2 N 2.22-2.48
Y12 0.8849 0.5873 0.9034  2 N 2.22-2.48
Y13 0.6151 0.0185 0.2024  2 N 2.22-2.48
As5 0.6250 0.3750 0.7500  8 Y 2.99-3.08
Y14 0.2976 0.4127 0.8161  2 N 2.22-2.48
Y15 0.9815 0.3849 0.2976  2 N 2.22-2.48
N6 0.2500 0.3750 0.6250  4 Y 2.22
N7 0.1250 0.3750 0.2500  4 Y 2.22
Y16 0.5873 0.7024 0.6839  2 N 2.22-2.48
Y17 0.3849 0.9815 0.7976  2 N 2.22-2.48
N8 0.7500 0.6250 0.3750  4 Y 2.22
N9 0.0000 0.0000 0.0000  6 Y 2.48
N10 0.6250 0.7500 0.8750  4 Y 2.22
Y18 0.6839 0.2024 0.5873  2 N 2.22-2.48
N11 0.0000 0.0000 0.5000  6 Y 2.48
Y19 0.1151 0.7024 0.5185  2 N 2.22-2.48
As6 0.7500 0.3750 0.1250  8 Y 2.99-3.08
N12 0.5000 0.0000 0.5000  6 Y 2.48
As7 0.1250 0.2500 0.8750  8 Y 2.99-3.08
Y20 0.5185 0.3161 0.9034  2 N 2.22-2.48
Y21 0.8161 0.9127 0.2976  2 N 2.22-2.48
Y22 0.2024 0.6839 0.0873  2 N 2.22-2.48
N13 0.5000 0.0000 0.0000  6 Y 2.48
N14 0.3750 0.1250 0.7500  4 Y 2.22
Y23 0.3849 0.4034 0.0873  2 N 2.22-2.48
Y24 0.7976 0.4815 0.3849  2 N 2.22-2.48
Y25 0.2024 0.5185 0.6151  2 N 2.22-2.48
Y26 0.8161 0.9034 0.0185  2 N 2.22-2.48
Y27 0.5873 0.8849 0.4034  2 N 2.22-2.48
Y28 0.2976 0.8849 0.9815  2 N 2.22-2.48
As8 0.6250 0.2500 0.3750  8 Y 2.99-3.08
Y29 0.4127 0.1151 0.5966  2 N 2.22-2.48
Y30 0.0185 0.4034 0.8161  2 N 2.22-2.48
N15 0.6250 0.8750 0.2500  4 Y 2.22
As9 0.2500 0.1250 0.3750  8 Y 2.99-3.08
Y31 0.3161 0.5185 0.4034  2 N 2.22-2.48
As10 0.2500 0.6250 0.8750  8 Y 2.99-3.08
Y32 0.7976 0.3161 0.9127  2 N 2.22-2.48
Y33 0.3161 0.7976 0.4127  2 N 2.22-2.48
Y34 0.9815 0.5966 0.1839  2 N 2.22-2.48
Y35 0.9127 0.8161 0.7976  2 N 2.22-2.48
Y36 0.0873 0.1839 0.2024  2 N 2.22-2.48
Y37 0.1151 0.4127 0.0966  2 N 2.22-2.48
Y38 0.9034 0.8161 0.5185  2 N 2.22-2.48
Y39 0.0966 0.1839 0.4815  2 N 2.22-2.48
Y40 0.6839 0.4815 0.5966  2 N 2.22-2.48
Y41 0.5185 0.2024 0.1151  2 N 2.22-2.48
Y42 0.8849 0.2976 0.4815  2 N 2.22-2.48
N16 0.5000 0.5000 0.0000  6 Y 2.48
N17 0.0000 0.5000 0.0000  6 Y 2.48
Y43 0.4127 0.2976 0.3161  2 N 2.22-2.48
N18 0.8750 0.6250 0.7500  4 Y 2.22
As11 0.8750 0.1250 0.2500  8 Y 2.99-3.08
As12 0.8750 0.7500 0.1250  8 Y 2.99-3.08
N19 0.2500 0.8750 0.1250  4 Y 2.22
Y44 0.7024 0.5873 0.1839  2 N 2.22-2.48
Y45 0.4815 0.7976 0.8849  2 N 2.22-2.48
Y46 0.4815 0.6839 0.0966  2 N 2.22-2.48
Y47 0.4034 0.3849 0.5873  2 N 2.22-2.48
Y48 0.0873 0.9034 0.3849  2 N 2.22-2.48
N20 0.3750 0.2500 0.1250  4 Y 2.22